Computed, not measured: crystalline UPaNi at its relaxed geometry at the PBE level of DFT.

Structure (POSCAR):
```
UPaNi
1.0
2.1713 -3.3651 -2.0525
-1.8985 -4.0713 -0.2666
-1.4718 -1.5412 -3.9636
Ni Pa U
1 1 1
Direct
0.0000 0.0000 0.0000
0.7500 0.7500 0.7500
0.2500 0.2500 0.2500
```

**Space-group type**: F-43m (216)
**Volume**: 64.4 Å³ per cell
**Polymorph energy (0 for the lowest one)**: 0 meV/atom
**Calculated formation energy**: 343 meV/atom
**Raw total energy**: -8.4442 eV/atom